No. 1
{
  "formula": "YCdFe3",
  "functional": "PBE-GGA",
  "state": "relaxed",
  "lattice": [[4.744, 0.000, 0.000], [0.000, 4.744, 0.000], [0.000, 0.000, 4.744]],
  "species": ["Y", "Fe", "Fe", "Fe", "Cd"],
  "fractional_positions": [[0.000, 0.000, 0.000], [0.000, 0.500, 0.000], [0.000, 0.000, 0.500], [0.500, 0.000, 0.000], [0.500, 0.500, 0.500]],
  "e_above_lowest_polymorph_mev_per_atom": 496.7,
  "formation_energy_mev_per_atom": 1625,
  "magnetic_moment_mub_per_fu": 6.50
}

No. 2
{
  "formula": "Mn2IrPtBr",
  "functional": "PBE-GGA",
  "state": "relaxed",
  "lattice": [[4.938, 0.000, 0.000], [0.000, 4.683, 0.000], [0.000, 0.000, 4.938]],
  "species": ["Mn", "Mn", "Ir", "Br", "Pt"],
  "fractional_positions": [[0.000, 0.000, 0.500], [0.500, 0.000, 0.000], [0.000, 0.000, 0.000], [0.000, 0.500, 0.000], [0.500, 0.500, 0.500]],
  "magnetic_moment_mub_per_fu": 9.47,
  "raw_formation_energy_ev_per_atom": 1.1244
}

No. 3
{
  "formula": "AlCu4Ge",
  "functional": "PBE-GGA",
  "state": "relaxed",
  "lattice": [[3.970, 0.000, 0.000], [-1.985, 6.132, 0.154], [0.000, -1.840, 7.002]],
  "species": ["Al", "Al", "Cu", "Cu", "Cu", "Cu", "Cu", "Cu", "Cu", "Cu", "Ge", "Ge"],
  "fractional_positions": [[0.250, 0.000, 0.250], [0.750, 0.000, 0.750], [0.911, 0.322, 0.153], [0.589, 0.678, 0.347], [0.089, 0.678, 0.847], [0.411, 0.322, 0.653], [0.200, 0.899, 0.560], [0.300, 0.101, 0.940], [0.800, 0.101, 0.440], [0.700, 0.899, 0.060], [0.500, 0.500, 0.000], [0.000, 0.500, 0.500]],
  "e_above_lowest_polymorph_mev_per_atom": 0.0,
  "formation_energy_mev_per_atom": 18,
  "magnetic_moment_mub_per_fu": 0.00
}

No. 4
{
  "formula": "La2Nd3Sm6Tm",
  "functional": "PBE-GGA",
  "state": "relaxed",
  "lattice": [[6.324, 0.000, 0.007], [-3.160, 5.478, 0.007], [-1.071, -1.855, 11.925]],
  "species": ["La", "La", "Nd", "Nd", "Nd", "Sm", "Sm", "Sm", "Sm", "Sm", "Sm", "Tm"],
  "fractional_positions": [[0.333, 0.667, 0.000], [0.667, 0.333, 0.000], [0.167, 0.833, 0.500], [0.833, 0.167, 0.500], [0.500, 0.500, 0.500], [0.917, 0.585, 0.750], [0.752, 0.752, 0.250], [0.083, 0.415, 0.250], [0.585, 0.917, 0.750], [0.248, 0.248, 0.750], [0.415, 0.083, 0.250], [0.000, 0.000, 0.000]],
  "formation_energy_mev_per_atom": 17,
  "magnetic_moment_mub_per_fu": 0.00
}